No. 1
{"formula": "Tb7Se5S", "functional": "PBE-GGA", "state": "relaxed", "cell": [[6.656, -1.974, 0.000], [6.656, 1.974, 0.000], [-0.752, 0.000, 24.542]], "species": ["Tb", "Tb", "Tb", "Tb", "Tb", "Tb", "Tb", "Tb", "Tb", "Tb", "Tb", "Tb", "Tb", "Tb", "Se", "Se", "Se", "Se", "Se", "Se", "Se", "Se", "Se", "Se", "S", "S"], "frac_coords": [[0.038, 0.038, 0.252], [0.137, 0.137, 0.962], [0.143, 0.143, 0.538], [0.286, 0.286, 0.317], [0.303, 0.303, 0.179], [0.408, 0.408, 0.883], [0.429, 0.429, 0.610], [0.571, 0.571, 0.390], [0.592, 0.592, 0.117], [0.697, 0.697, 0.821], [0.714, 0.714, 0.683], [0.857, 0.857, 0.462], [0.863, 0.863, 0.038], [0.962, 0.962, 0.748], [0.052, 0.052, 0.854], [0.072, 0.072, 0.647], [0.215, 0.215, 0.427], [0.221, 0.221, 0.071], [0.500, 0.500, 0.000], [0.500, 0.500, 0.500], [0.779, 0.779, 0.929], [0.785, 0.785, 0.573], [0.928, 0.928, 0.353], [0.948, 0.948, 0.146], [0.318, 0.318, 0.775], [0.682, 0.682, 0.225]], "crystal_system": "monoclinic", "e_form_raw_ev_per_atom": -1.594, "e_tot_ha_per_atom": -0.21111, "volume_a3_per_cell": 644.9}

***

No. 2
{"formula": "Zr2NiHg", "functional": "PBE-GGA", "state": "relaxed", "cell": [[4.343, 0.000, 0.000], [0.000, 4.343, 0.000], [0.000, 0.000, 4.060]], "species": ["Zr", "Zr", "Ni", "Hg"], "frac_coords": [[0.000, 0.500, 0.000], [0.500, 0.000, 0.000], [0.000, 0.000, 0.500], [0.500, 0.500, 0.500]], "delta_e_f_ev_per_atom": -0.13, "crystal_system": "tetragonal", "e_tot_ha_per_atom": -0.21760, "volume_a3_per_cell": 76.6}

***

No. 3
{"formula": "Na4Np3GeSe8", "functional": "PBE-GGA", "state": "relaxed", "cell": [[4.181, 2.414, 6.915], [-4.181, 2.414, 6.915], [0.000, -4.828, 6.915]], "species": ["Na", "Na", "Na", "Na", "Np", "Np", "Np", "Ge", "Se", "Se", "Se", "Se", "Se", "Se", "Se", "Se"], "frac_coords": [[0.000, 0.000, 0.000], [0.000, 0.500, 0.500], [0.500, 0.000, 0.500], [0.500, 0.500, 0.000], [0.000, 0.000, 0.500], [0.000, 0.500, 0.000], [0.500, 0.000, 0.000], [0.500, 0.500, 0.500], [0.242, 0.742, 0.742], [0.244, 0.244, 0.244], [0.258, 0.258, 0.758], [0.258, 0.758, 0.258], [0.742, 0.242, 0.742], [0.742, 0.742, 0.242], [0.756, 0.756, 0.756], [0.758, 0.258, 0.258]], "crystal_system": "trigonal", "e_form_raw_ev_per_atom": -1.076, "e_tot_ha_per_atom": -0.21547, "volume_a3_per_cell": 418.7}

***

No. 4
{"formula": "MgCuAu6", "functional": "PBE-GGA", "state": "relaxed", "cell": [[4.110, 0.000, 0.000], [0.000, 4.110, 0.000], [0.000, 0.000, 8.197]], "species": ["Mg", "Cu", "Au", "Au", "Au", "Au", "Au", "Au"], "frac_coords": [[0.000, 0.000, 0.000], [0.000, 0.000, 0.500], [0.000, 0.500, 0.255], [0.000, 0.500, 0.745], [0.500, 0.000, 0.255], [0.500, 0.000, 0.745], [0.500, 0.500, 0.000], [0.500, 0.500, 0.500]], "delta_e_f_ev_per_atom": -0.21, "crystal_system": "tetragonal", "e_tot_ha_per_atom": -0.12403, "volume_a3_per_cell": 138.5}

***

No. 5
{"formula": "Fe4PBr", "functional": "PBE-GGA", "state": "relaxed", "cell": [[0.000, 3.522, 3.522], [3.522, 0.000, 3.522], [3.522, 3.522, 0.000]], "species": ["Fe", "Fe", "Fe", "Fe", "P", "Br"], "frac_coords": [[0.376, 0.376, 0.376], [0.376, 0.376, 0.871], [0.376, 0.871, 0.376], [0.871, 0.376, 0.376], [0.750, 0.750, 0.750], [0.000, 0.000, 0.000]], "crystal_system": "cubic", "e_form_raw_ev_per_atom": 0.652, "e_tot_ha_per_atom": -0.22676, "volume_a3_per_cell": 87.4}

***

No. 6
{"formula": "YAg2HS", "functional": "PBE-GGA", "state": "relaxed", "cell": [[4.768, 0.000, 0.000], [0.000, 4.768, 0.000], [0.000, 0.000, 5.215]], "species": ["Y", "Ag", "Ag", "H", "S"], "frac_coords": [[0.000, 0.000, 0.000], [0.000, 0.500, 0.500], [0.500, 0.000, 0.500], [0.500, 0.500, 0.000], [0.000, 0.000, 0.500]], "crystal_system": "tetragonal", "e_tot_ha_per_atom": -0.13568, "volume_a3_per_cell": 118.6}

***

Copy entry 1 word for word.
{"formula": "Tb7Se5S", "functional": "PBE-GGA", "state": "relaxed", "cell": [[6.656, -1.974, 0.000], [6.656, 1.974, 0.000], [-0.752, 0.000, 24.542]], "species": ["Tb", "Tb", "Tb", "Tb", "Tb", "Tb", "Tb", "Tb", "Tb", "Tb", "Tb", "Tb", "Tb", "Tb", "Se", "Se", "Se", "Se", "Se", "Se", "Se", "Se", "Se", "Se", "S", "S"], "frac_coords": [[0.038, 0.038, 0.252], [0.137, 0.137, 0.962], [0.143, 0.143, 0.538], [0.286, 0.286, 0.317], [0.303, 0.303, 0.179], [0.408, 0.408, 0.883], [0.429, 0.429, 0.610], [0.571, 0.571, 0.390], [0.592, 0.592, 0.117], [0.697, 0.697, 0.821], [0.714, 0.714, 0.683], [0.857, 0.857, 0.462], [0.863, 0.863, 0.038], [0.962, 0.962, 0.748], [0.052, 0.052, 0.854], [0.072, 0.072, 0.647], [0.215, 0.215, 0.427], [0.221, 0.221, 0.071], [0.500, 0.500, 0.000], [0.500, 0.500, 0.500], [0.779, 0.779, 0.929], [0.785, 0.785, 0.573], [0.928, 0.928, 0.353], [0.948, 0.948, 0.146], [0.318, 0.318, 0.775], [0.682, 0.682, 0.225]], "crystal_system": "monoclinic", "e_form_raw_ev_per_atom": -1.594, "e_tot_ha_per_atom": -0.21111, "volume_a3_per_cell": 644.9}